(i)
Here is a relaxed Sc2SeCl crystal from the Alexandria database. Energies are from PBE.

Results
As for the volume: 20.2 A^3/atom.

abc: 3.626 3.626 6.143
angles: 90.00 90.00 90.00
Space group P4mm (No. 99)
Inequivalent atoms, fractional coordinates:
Sc (0.000, 0.000, 0.000) (multiplicity 1)
Sc (0.500, 0.500, 0.315) (multiplicity 1)
Se (0.000, 0.000, 0.462) (multiplicity 1)
Cl (0.500, 0.500, 0.877) (multiplicity 1)

***

(ii)
Here is a relaxed Sc2SeCl crystal from the Alexandria database. Energies are from PBE.

Results
As for the volume: 26.0 A^3/atom.

abc: 5.914 5.914 11.903
angles: 90.00 90.00 90.00
Space group I-42d (No. 122)
Inequivalent atoms, fractional coordinates:
Sc (0.243, 0.250, 0.125) (multiplicity 8)
Se (0.000, 0.000, 0.500) (multiplicity 4)
Cl (0.000, 0.000, 0.000) (multiplicity 4)

***

Bottom line: (i), by a margin of 31.8 kJ/mol of atoms.

***

(i)
Here is a relaxed Sc2SeCl crystal from the Alexandria database. Energies are from PBE.

Results
As for the volume: 21.9 A^3/atom.

abc: 3.519 6.262 7.944
angles: 90.00 90.00 90.00
Space group Immm (No. 71)
Inequivalent atoms, fractional coordinates:
Sc (0.000, 0.000, 0.250) (multiplicity 4)
Se (0.000, 0.500, 0.000) (multiplicity 2)
Cl (0.000, 0.500, 0.500) (multiplicity 2)

***

(ii)
Here is a relaxed Sc2SeCl crystal from the Alexandria database. Energies are from PBE.

Results
As for the volume: 18.5 A^3/atom.

abc: 6.664 6.664 6.664
angles: 90.00 90.00 90.00
Space group Fm-3m (No. 225)
Inequivalent atoms, fractional coordinates:
Sc (0.250, 0.250, 0.250) (multiplicity 8)
Se (0.000, 0.000, 0.000) (multiplicity 4)
Cl (0.000, 0.000, 0.500) (multiplicity 4)

***

(iii)
Here is a relaxed Sc2SeCl crystal from the Alexandria database. Energies are from PBE.

Results
As for the volume: 18.7 A^3/atom.

abc: 3.352 3.352 6.667
angles: 90.00 90.00 90.00
Space group P4/mmm (No. 123)
Inequivalent atoms, fractional coordinates:
Sc (0.000, 0.000, 0.236) (multiplicity 2)
Se (0.500, 0.500, 0.000) (multiplicity 1)
Cl (0.500, 0.500, 0.500) (multiplicity 1)

***

(iv)
Here is a relaxed Sc2SeCl crystal from the Alexandria database. Energies are from PBE.

Results
As for the volume: 27.4 A^3/atom.

abc: 3.755 11.189 5.216
angles: 90.00 90.00 90.00
Space group Pmn2_1 (No. 31)
Inequivalent atoms, fractional coordinates:
Sc (0.000, 0.032, 0.000) (multiplicity 2)
Sc (0.000, 0.757, 0.203) (multiplicity 2)
Se (0.000, 0.822, 0.703) (multiplicity 2)
Cl (0.000, 0.388, 0.694) (multiplicity 2)

***

Bottom line: (iv), by a margin of 15.2 kJ/mol of atoms.

***

(i)
Here is a relaxed Sc2SeCl crystal from the Alexandria database. Energies are from PBE.

Results
As for the volume: 20.6 A^3/atom.

abc: 3.467 3.649 6.511
angles: 90.00 91.96 90.00
Space group P2/m (No. 10)
Inequivalent atoms, fractional coordinates:
Sc (0.017, 0.000, 0.234) (multiplicity 2)
Se (0.500, 0.500, 0.000) (multiplicity 1)
Cl (0.000, 0.500, 0.500) (multiplicity 1)

***

(ii)
Here is a relaxed Sc2SeCl crystal from the Alexandria database. Energies are from PBE.

Results
As for the volume: 21.0 A^3/atom.

abc: 3.9364 3.9364 18.7590
angles: 90.00 90.00 120.00
Space group R-3m (No. 166, hexagonal axes)
Inequivalent atoms, fractional coordinates:
Sc (0.0000, 0.0000, 0.2346) (multiplicity 6)
Se (0.0000, 0.0000, 0.5000) (multiplicity 3)
Cl (0.0000, 0.0000, 0.0000) (multiplicity 3)

***

(iii)
Here is a relaxed Sc2SeCl crystal from the Alexandria database. Energies are from PBE.

Results
As for the volume: 21.5 A^3/atom.

abc: 7.008 7.008 7.008
angles: 90.00 90.00 90.00
Space group F-43m (No. 216)
Inequivalent atoms, fractional coordinates:
Sc (0.000, 0.000, 0.000) (multiplicity 4)
Sc (0.250, 0.250, 0.250) (multiplicity 4)
Se (0.250, 0.250, 0.750) (multiplicity 4)
Cl (0.000, 0.000, 0.500) (multiplicity 4)

***

Bottom line: (ii), by a margin of 9.8 kJ/mol of atoms.

***

(i)
Here is a relaxed Sc2SeCl crystal from the Alexandria database. Energies are from PBE.

Results
As for the volume: 21.9 A^3/atom.

abc: 7.035 7.954 3.622
angles: 90.00 120.15 90.00
Space group C2/m (No. 12)
Inequivalent atoms, fractional coordinates:
Sc (0.250, 0.250, 0.000) (multiplicity 4)
Se (0.000, 0.000, 0.000) (multiplicity 2)
Cl (0.000, 0.500, 0.000) (multiplicity 2)

***

(ii)
Here is a relaxed Sc2SeCl crystal from the Alexandria database. Energies are from PBE.

Results
As for the volume: 24.4 A^3/atom.

abc: 3.7608 3.7608 23.8863
angles: 90.00 90.00 120.00
Space group R-3m (No. 166, hexagonal axes)
Inequivalent atoms, fractional coordinates:
Sc (0.0000, 0.0000, 0.1021) (multiplicity 6)
Se (0.0000, 0.0000, 0.5000) (multiplicity 3)
Cl (0.0000, 0.0000, 0.0000) (multiplicity 3)

***

Bottom line: (ii), by a margin of 17.2 kJ/mol of atoms.

***

(i)
Here is a relaxed Sc2SeCl crystal from the Alexandria database. Energies are from PBE.

Results
As for the volume: 22.3 A^3/atom.

abc: 3.524 6.297 8.042
angles: 90.00 90.00 90.00
Space group Cmmm (No. 65)
Inequivalent atoms, fractional coordinates:
Sc (0.000, 0.000, 0.236) (multiplicity 4)
Se (0.000, 0.500, 0.000) (multiplicity 2)
Cl (0.000, 0.500, 0.500) (multiplicity 2)

***

(ii)
Here is a relaxed Sc2SeCl crystal from the Alexandria database. Energies are from PBE.

Results
As for the volume: 21.6 A^3/atom.

abc: 3.662 5.084 4.914
angles: 90.00 109.35 90.00
Space group Pm (No. 6)
Inequivalent atoms, fractional coordinates:
Sc (0.000, 0.000, 0.000) (multiplicity 1)
Sc (0.493, 0.500, 0.465) (multiplicity 1)
Se (0.165, 0.500, 0.896) (multiplicity 1)
Cl (0.363, 0.000, 0.556) (multiplicity 1)

***

Bottom line: (ii), by a margin of 9.2 kJ/mol of atoms.

***

(i)
Here is a relaxed Sc2SeCl crystal from the Alexandria database. Energies are from PBE.

Results
As for the volume: 23.0 A^3/atom.

abc: 14.245 3.590 3.600
angles: 90.00 90.39 90.00
Space group Cm (No. 8)
Inequivalent atoms, fractional coordinates:
Sc (0.000, 0.000, 0.000) (multiplicity 2)
Sc (0.131, 0.500, 0.504) (multiplicity 2)
Se (0.195, 0.000, 0.005) (multiplicity 2)
Cl (0.437, 0.000, 0.498) (multiplicity 2)

***

(ii)
Here is a relaxed Sc2SeCl crystal from the Alexandria database. Energies are from PBE.

Results
As for the volume: 20.1 A^3/atom.

abc: 3.6158 3.6158 21.3226
angles: 90.00 90.00 120.00
Space group R3m (No. 160, hexagonal axes)
Inequivalent atoms, fractional coordinates:
Sc (0.0000, 0.0000, 0.0000) (multiplicity 3)
Sc (0.0000, 0.0000, 0.1788) (multiplicity 3)
Se (0.0000, 0.0000, 0.5898) (multiplicity 3)
Cl (0.0000, 0.0000, 0.7595) (multiplicity 3)

***

(iii)
Here is a relaxed Sc2SeCl crystal from the Alexandria database. Energies are from PBE.

Results
As for the volume: 21.7 A^3/atom.

abc: 3.532 3.992 6.155
angles: 90.00 90.00 90.00
Space group Pmmm (No. 47)
Inequivalent atoms, fractional coordinates:
Sc (0.000, 0.000, 0.000) (multiplicity 1)
Sc (0.500, 0.000, 0.500) (multiplicity 1)
Se (0.000, 0.500, 0.500) (multiplicity 1)
Cl (0.500, 0.500, 0.000) (multiplicity 1)

***

Bottom line: (i), by a margin of 5.3 kJ/mol of atoms.